Entry 1:
# La2TbGd

A geometry-optimized La2TbGd structure (GGA-PBE, the Alexandria database).

The value obtained for the density of states at the Fermi level is 32.1 states/eV/cell. The energy relative to the lowest polymorph listed for this composition is 0.30 eV per formula unit.

The space group is Fm-3m (No. 225) and the conventional cell measures 8.242, 8.242 and 8.242 Å, with angles of 90.00, 90.00 and 90.00 degrees. Symmetry generates all atoms from La at (0.250, 0.250, 0.250), Tb at (0.000, 0.000, 0.000) and Gd at (0.000, 0.000, 0.500).

=====

Entry 2:
# UMnZnRh

A geometry-optimized UMnZnRh structure (GGA-PBE, the Alexandria database).

The value obtained for the density of states at the Fermi level is 33.1 states/eV/cell. As for the total energy: -7.389 eV/atom.

The space group is F-43m (No. 216) and the conventional cell measures 6.393, 6.393 and 6.393 Å, with angles of 90.00, 90.00 and 90.00 degrees. Symmetry generates all atoms from U at (0.000, 0.000, 0.000), Mn at (0.250, 0.250, 0.250), Zn at (0.000, 0.000, 0.500) and Rh at (0.250, 0.250, 0.750).

=====

Entry 3:
# CrHg2Os

A geometry-optimized CrHg2Os structure (GGA-PBE, the Alexandria database).

The value obtained for the density of states at the Fermi level is 20.2 states/eV/cell. The energy relative to the lowest polymorph listed for this composition is 2.04 eV per formula unit.

The space group is F-43m (No. 216) and the conventional cell measures 6.563, 6.563 and 6.563 Å, with angles of 90.00, 90.00 and 90.00 degrees. Symmetry generates all atoms from Cr at (0.000, 0.000, 0.000), Hg at (0.000, 0.000, 0.500), Hg at (0.250, 0.250, 0.750) and Os at (0.250, 0.250, 0.250).

=====

Entry 4:
# TaAsAuSe2

A geometry-optimized TaAsAuSe2 structure (GGA-PBE, the Alexandria database).

The value obtained for the density of states at the Fermi level is 4.3 states/eV/cell. The formation energy (no corrections) comes out at 0.30 eV/atom. The energy relative to the lowest polymorph listed for this composition is 0.00 eV per formula unit.

The space group is P4/mmm (No. 123) and the conventional cell measures 4.954, 4.954 and 5.115 Å, with angles of 90.00, 90.00 and 90.00 degrees. Symmetry generates all atoms from Ta at (0.000, 0.000, 0.000), As at (0.000, 0.000, 0.500), Au at (0.500, 0.500, 0.500) and Se at (0.000, 0.500, 0.000).

=====

Entry 5:
# Mg2Ga2Ru

A geometry-optimized Mg2Ga2Ru structure (GGA-PBE, the Alexandria database).

The value obtained for the density of states at the Fermi level is 6.6 states/eV/cell. The energy relative to the lowest polymorph listed for this composition is 0.21 eV per formula unit.

The space group is Ibam (No. 72) and the conventional cell measures 5.661, 12.161 and 5.811 Å, with angles of 90.00, 90.00 and 90.00 degrees. Symmetry generates all atoms from Mg at (0.235, 0.162, 0.000), Ga at (0.224, 0.398, 0.000) and Ru at (0.000, 0.000, 0.250).